Density functional theory data (GGA-PBE) for a relaxed Ac8LaHo3 crystal.

Lattice parameters (Å, degrees): 18.4141 6.1029 10.6748 90.00 125.06 90.00
Last column: nearest neighbours and their distance in Å.
Space group Cm (No. 8)
Symmetry-distinct sites (fractional):
Ac: 0.0000 0.0000 0.0000  6 Ac 3.61-3.99, 1 Ho 3.80, 1 La 3.95
Ac: 0.0030 0.0000 0.6616  3 Ho 3.48-3.77, 3 Ac 3.65-3.84
Ac: 0.0076 0.5000 0.1880  2 Ho 3.45-3.70, 3 Ac 3.61-3.82, 2 La 3.86
Ac: 0.1276 0.5000 0.9669  10 Ac 3.77-4.14, 4 Ho 3.87-4.13
Ac: 0.2413 0.5000 0.7262  2 Ho 3.52-3.75, 3 Ac 3.66-3.90, 2 La 3.91
Ac: 0.2546 0.0000 0.9283  1 Ho 3.56, 4 Ac 3.66-3.82
Ac: 0.3717 0.0000 0.6893  1 La 3.68, 4 Ho 3.78-3.95, 7 Ac 3.87-4.11
Ac: 0.3775 0.5000 0.2238  7 Ac 3.77-4.12, 1 La 3.77, 5 Ho 3.79-3.97
La: 0.1273 0.0000 0.4493  8 Ac 3.68-4.04, 3 Ho 3.84-4.00
Ho: 0.2520 0.0000 0.2590  3 Ho 3.44-3.63, 3 Ac 3.56-3.80, 1 La 3.84
Ho: 0.2527 0.5000 0.4079  2 Ho 3.44, 4 Ac 3.52-3.79
Ho: 0.4929 0.0000 0.4961  5 Ac 3.45-3.81, 1 Ho 3.63

Summary:
energy relative to the elements = 0.097 eV/atom

***

Density functional theory data (GGA-PBE) for a relaxed HoThTe crystal.

Lattice parameters (Å, degrees): 5.2355 5.2355 3.8217 90.00 90.00 120.00
Last column: nearest neighbours and their distance in Å.
Space group P3m1 (No. 156)
Symmetry-distinct sites (fractional):
Ho: 0.0000 0.0000 0.0000  3 Te 3.02
Th: 0.3333 0.6667 0.4995  6 Te 3.57-3.58, 6 Ho 3.58, 2 Th 3.82
Te: 0.6667 0.3333 0.0033  3 Ho 3.02

Summary:
energy above the lowest structure with this stoichiometry = 0.82 eV/f.u.
energy relative to the elements, uncorrected = -0.3612 eV/atom

***

Density functional theory data (GGA-PBE) for a relaxed BaPm2Cu crystal.

Lattice parameters (Å, degrees): 3.8906 3.8906 33.1498 90.00 90.00 120.00
Last column: nearest neighbours and their distance in Å.
Space group R-3m (No. 166, hexagonal axes)
Symmetry-distinct sites (fractional):
Ba: 0.0000 0.0000 0.0000  2 Pm 3.73, 6 Ba 3.89
Pm: 0.0000 0.0000 0.1124  3 Cu 2.88
Cu: 0.0000 0.0000 0.5000  6 Pm 2.88

Summary:
energy relative to the elements = 0.220 eV/atom
energy above the lowest structure with this stoichiometry = 0.70 eV/f.u.

***

Density functional theory data (GGA-PBE) for a relaxed Pa2AlGe2 crystal.

Lattice parameters (Å, degrees): 4.2685 4.2685 14.0989 90.00 90.00 120.00
Last column: nearest neighbours and their distance in Å.
Space group P6_3/mmc (No. 194)
Symmetry-distinct sites (fractional):
Pa: 0.3333 0.6667 0.1118  6 Ge 2.93-3.14, 3 Al 3.14
Al: 0.0000 0.0000 0.2500  3 Ge 2.46
Ge: 0.0000 0.0000 0.0000  6 Pa 2.93
Ge: 0.3333 0.6667 0.7500  3 Al 2.46

Summary:
energy relative to the elements = -0.385 eV/atom
energy above the lowest structure with this stoichiometry = 0.04 eV/f.u.

***

Density functional theory data (GGA-PBE) for a relaxed Nd2Ge5Ir crystal.

Lattice parameters (Å, degrees): 5.9270 5.9270 9.8692 90.00 90.00 90.00
Last column: nearest neighbours and their distance in Å.
Space group I4mm (No. 107)
Symmetry-distinct sites (fractional):
Nd: 0.0000 0.5000 0.0000  10 Ge 3.04-3.30, 2 Ir 3.29
Ge: 0.0000 0.0000 0.4297  4 Ge 2.70
Ge: 0.2335 0.2335 0.2418  1 Ir 2.50, 3 Ge 2.70-2.77
Ir: 0.0000 0.0000 0.8548  4 Ge 2.50

Summary:
energy relative to the elements = -0.462 eV/atom

***

Density functional theory data (GGA-PBE) for a relaxed RbZrIF2 crystal.

Lattice parameters (Å, degrees): 4.6456 4.6456 6.0992 90.00 90.00 90.00
Last column: nearest neighbours and their distance in Å.
Space group P4/mmm (No. 123)
Symmetry-distinct sites (fractional):
Rb: 0.0000 0.0000 0.0000  4 I 3.28
Zr: 0.5000 0.5000 0.5000  4 F 2.32
I: 0.5000 0.5000 0.0000  2 Zr 3.05, 4 Rb 3.28
F: 0.0000 0.5000 0.5000  2 Zr 2.32

Summary:
energy relative to the elements, uncorrected = -1.8925 eV/atom

***

Density functional theory data (GGA-PBE) for a relaxed Cs2BICl6 crystal.

Lattice parameters (Å, degrees): 7.8294 7.8294 11.4102 90.00 90.00 90.00
Last column: nearest neighbours and their distance in Å.
Space group I4/mmm (No. 139)
Symmetry-distinct sites (fractional):
Cs: 0.0000 0.5000 0.2500  12 Cl 3.93-4.05
B: 0.0000 0.0000 0.0000  4 Cl 1.99
I: 0.0000 0.0000 0.5000  2 Cl 2.56
Cl: 0.0000 0.0000 0.2755  1 I 2.56
Cl: 0.1796 0.1796 0.0000  1 B 1.99

Summary:
energy relative to the elements, uncorrected = -0.9312 eV/atom

***

Density functional theory data (GGA-PBE) for a relaxed SrC3 crystal.

Lattice parameters (Å, degrees): 5.3509 5.3509 8.4868 90.00 90.00 120.00
Last column: nearest neighbours and their distance in Å.
Space group P6_3/mmc (No. 194)
Symmetry-distinct sites (fractional):
Sr: 0.0000 0.0000 0.0000  6 C 2.68
Sr: 0.3333 0.6667 0.2500  12 C 2.62-2.76
C: 0.0000 0.5000 0.0000  8 C 2.51-2.68, 4 Sr 2.62-2.68
C: 0.2412 0.4823 0.7500  2 C 1.48

Summary:
energy relative to the elements = 2.040 eV/atom
energy above the lowest structure with this stoichiometry = 5.81 eV/f.u.